VASP calculation (PBE) on an optimized crystal structure of La6In2Ge.

Lattice parameters (Å, degrees): 8.6791 8.6791 4.4972 90.00 90.00 120.00
With the nearest neighbours (Å) after each atom.
Space group P-62m (No. 189)
Asymmetric unit:
La  0.0000  0.2559  0.0000  2 Ge 3.16, 2 In 3.28
La  0.0000  0.6042  0.5000  1 Ge 3.44, 4 In 3.49, 6 La 3.76-3.77
In  0.3333  0.6667  0.0000  9 La 3.28-3.49
Ge  0.0000  0.0000  0.5000  9 La 3.16-3.44

Summary:
The value obtained for the mass density is 6.43 g/cm³. The energy relative to the elements comes out at -383.3 kJ/mol of formula units. Its volume is 293.4 Å³/f.u.

VASP calculation (PBE) on an optimized crystal structure of LiFeHg2.

Lattice parameters (Å, degrees): 3.9569 3.9569 9.1208 90.00 90.00 90.00
With the nearest neighbours (Å) after each atom.
Space group I-4m2 (No. 119)
Asymmetric unit:
Li  0.0000  0.0000  0.0000  8 Hg 2.80-3.02, 4 Fe 3.02
Fe  0.0000  0.5000  0.7500  8 Hg 2.80-3.02, 4 Li 3.02
Hg  0.0000  0.0000  0.5000  4 Li 2.80, 4 Hg 3.02, 4 Fe 3.02
Hg  0.0000  0.5000  0.2500  4 Fe 2.80, 4 Hg 3.02, 4 Li 3.02

Summary:
The value obtained for the mass density is 10.79 g/cm³. The energy relative to the elements comes out at 77.1 kJ/mol of formula units. Its volume is 71.4 Å³/f.u.